1.
8
Lattice="3.147 0.000 0.000 0.000 5.066 0.000 0.000 0.000 10.468" Properties=species:S:1:pos:R:3 comment="MgSc2Ta | the Alexandria database | PBEsol | relaxed" final_energy_ev_per_fu=-26.5 rho_g_cm3=5.87 delta_e_f_ev_per_fu=0.9 dos_at_fermi_per_ev_atom=1.20 magmom_total_mub_per_fu=0.000 pbc="T T T"
Mg 0.000 0.000 0.000
Mg 1.574 2.533 5.234
Sc 0.000 0.000 5.493
Sc 0.000 2.533 7.809
Sc 1.574 0.000 2.575
Sc 1.574 2.533 0.259
Ta 0.000 2.533 2.806
Ta 1.574 0.000 8.040


2.
10
Lattice="2.079 -6.238 0.000 2.079 6.238 0.000 0.000 0.000 5.622" Properties=species:S:1:pos:R:3 comment="SrTcN3 | the Alexandria database | PBEsol | relaxed" final_energy_ev_per_fu=-41.2 rho_g_cm3=5.18 e_form_raw_ev_per_atom=-0.4984 dos_at_fermi_per_ev_atom=0.35 magmom_total_mub_per_fu=0.000 pbc="T T T"
Sr 2.079 4.625 4.217
Sr 2.079 -4.625 1.406
Tc 2.079 1.202 4.217
Tc 2.079 -1.202 1.406
N 1.443 3.778 1.406
N 2.714 3.778 1.406
N 2.079 0.000 0.000
N 2.079 0.000 2.811
N 1.443 -3.778 4.217
N 2.714 -3.778 4.217


3.
5
Lattice="4.638 0.000 0.000 0.000 4.638 0.000 0.000 0.000 5.376" Properties=species:S:1:pos:R:3 comment="CaAs2RhSe | the Alexandria database | PBEsol | relaxed" final_energy_ev_per_fu=-25.8 rho_g_cm3=5.34 e_form_raw_ev_per_atom=-0.2953 dos_at_fermi_per_ev_atom=0.75 magmom_total_mub_per_fu=0.000 pbc="T T T"
Ca 0.000 0.000 0.000
As 0.000 2.319 2.688
As 2.319 0.000 2.688
Rh 2.319 2.319 2.688
Se 2.319 2.319 0.000


4.
5
Lattice="5.637 0.000 0.000 0.000 5.637 0.000 0.000 0.000 5.637" Properties=species:S:1:pos:R:3 comment="ScMnI3 | the Alexandria database | PBEsol | relaxed" final_energy_ev_per_fu=-22.2 rho_g_cm3=4.46 e_form_raw_ev_per_atom=-0.0969 dos_at_fermi_per_ev_atom=0.94 magmom_total_mub_per_fu=5.374 pbc="T T T"
Sc 0.000 0.000 0.000
Mn 2.818 2.818 2.818
I 0.000 0.000 2.818
I 0.000 2.818 0.000
I 2.818 0.000 0.000


5.
4
Lattice="3.195 0.000 0.000 0.000 3.195 0.000 0.000 0.000 6.702" Properties=species:S:1:pos:R:3 comment="ScZnAg2 | the Alexandria database | PBEsol | relaxed" final_energy_ev_per_fu=-15.6 rho_g_cm3=7.92 delta_e_f_ev_per_fu=-0.7 dos_at_fermi_per_ev_atom=0.56 magmom_total_mub_per_fu=0.000 pbc="T T T"
Sc 0.000 0.000 0.000
Zn 0.000 0.000 3.351
Ag 1.597 1.597 1.840
Ag 1.597 1.597 4.863


6.
10
Lattice="3.982 0.000 0.000 0.000 3.982 0.000 0.000 0.000 13.388" Properties=species:S:1:pos:R:3 comment="La2SbF2 | the Alexandria database | PBEsol | relaxed" final_energy_ev_per_fu=-32.5 rho_g_cm3=6.85 e_form_raw_ev_per_atom=-2.6854 dos_at_fermi_per_ev_atom=0.46 magmom_total_mub_per_fu=0.003 pbc="T T T"
La 0.000 0.000 1.766
La 0.000 0.000 11.622
La 1.991 1.991 4.928
La 1.991 1.991 8.460
Sb 0.000 0.000 6.694
Sb 1.991 1.991 0.000
F 0.000 1.991 3.347
F 0.000 1.991 10.041
F 1.991 0.000 3.347
F 1.991 0.000 10.041


7.
5
Lattice="4.812 0.000 0.000 0.000 4.812 0.000 0.000 0.000 6.295" Properties=species:S:1:pos:R:3 comment="BaTeAsRu2 | the Alexandria database | PBEsol | relaxed" final_energy_ev_per_fu=-25.9 rho_g_cm3=6.18 e_form_raw_ev_per_atom=1.0473 dos_at_fermi_per_ev_atom=1.20 magmom_total_mub_per_fu=1.705 pbc="T T T"
Ba 0.000 0.000 0.000
Te 0.000 0.000 3.147
As 2.406 2.406 0.000
Ru 0.000 2.406 3.147
Ru 2.406 0.000 3.147


8.
4
Lattice="4.190 0.000 0.000 0.000 4.190 0.000 0.000 0.000 4.192" Properties=species:S:1:pos:R:3 comment="AlZnCd2 | the Alexandria database | PBEsol | relaxed" final_energy_ev_per_fu=-7.6 relative_energy_ev_per_atom=0.0426 rho_g_cm3=7.16 delta_e_f_ev_per_fu=0.4 dos_at_fermi_per_ev_atom=0.24 magmom_total_mub_per_fu=0.000 pbc="T T T"
Al 0.000 0.000 0.000
Zn 2.095 2.095 0.000
Cd 0.000 2.095 2.096
Cd 2.095 0.000 2.096


9.
6
Lattice="4.925 0.000 0.000 -2.462 4.265 0.000 0.000 0.000 4.654" Properties=species:S:1:pos:R:3 comment="LiAg5 | the Alexandria database | PBEsol | relaxed" final_energy_ev_per_fu=-19.0 relative_energy_ev_per_atom=0.0010 rho_g_cm3=9.28 delta_e_f_ev_per_fu=-0.5 dos_at_fermi_per_ev_atom=0.28 magmom_total_mub_per_fu=0.000 pbc="T T T"
Li 0.000 0.000 0.000
Ag -1.644 2.847 2.327
Ag 0.819 1.418 2.327
Ag 0.000 2.843 0.000
Ag 2.462 1.422 0.000
Ag 3.287 0.000 2.327


10.
5
Lattice="5.970 0.000 0.000 0.000 5.970 0.000 0.000 0.000 4.114" Properties=species:S:1:pos:R:3 comment="NaSb2PbO | the Alexandria database | PBEsol | relaxed" final_energy_ev_per_fu=-18.6 rho_g_cm3=5.55 e_form_raw_ev_per_atom=0.2229 dos_at_fermi_per_ev_atom=0.82 magmom_total_mub_per_fu=0.000 pbc="T T T"
Na 0.000 0.000 0.000
Sb 0.000 2.985 2.057
Sb 2.985 0.000 2.057
Pb 2.985 2.985 2.057
O 2.985 2.985 0.000


11.
8
Lattice="8.867 0.000 0.000 0.000 2.681 0.000 -0.837 0.000 4.420" Properties=species:S:1:pos:R:3 comment="LiZnRu2 | the Alexandria database | PBEsol | relaxed" final_energy_ev_per_fu=-23.3 rho_g_cm3=8.67 delta_e_f_ev_per_fu=0.6 dos_at_fermi_per_ev_atom=0.87 magmom_total_mub_per_fu=0.000 pbc="T T T"
Li 0.000 0.000 0.000
Li 4.433 1.341 0.000
Zn -0.418 1.341 2.210
Zn 4.015 0.000 2.210
Ru 1.520 0.000 3.337
Ru 2.077 1.341 1.083
Ru 5.953 1.341 3.337
Ru 6.510 0.000 1.083


12.
12
Lattice="3.542 0.000 0.000 0.000 9.014 0.000 0.000 0.000 4.880" Properties=species:S:1:pos:R:3 comment="TaCoSi | the Alexandria database | PBEsol | relaxed" final_energy_ev_per_fu=-28.2 rho_g_cm3=11.42 e_form_raw_ev_per_atom=-0.7096 dos_at_fermi_per_ev_atom=0.60 magmom_total_mub_per_fu=0.000 pbc="T T T"
Ta 0.000 1.905 1.220
Ta 0.000 7.109 3.660
Ta 1.771 2.602 3.660
Ta 1.771 6.412 1.220
Co 0.000 4.507 0.000
Co 0.000 4.507 2.440
Co 1.771 0.000 0.000
Co 1.771 0.000 2.440
Si 0.000 0.737 3.660
Si 0.000 8.277 1.220
Si 1.771 3.770 1.220
Si 1.771 5.244 3.660


13.
12
Lattice="4.015 0.000 0.000 -2.008 3.477 0.000 0.000 0.000 22.164" Properties=species:S:1:pos:R:3 comment="Ca2PRh | the Alexandria database | PBEsol | relaxed" final_energy_ev_per_fu=-21.4 rho_g_cm3=3.45 delta_e_f_ev_per_fu=-3.3 dos_at_fermi_per_ev_atom=0.62 magmom_total_mub_per_fu=0.000 pbc="T T T"
Ca 0.000 0.000 0.000
Ca 0.000 0.000 3.775
Ca 0.000 2.318 14.776
Ca 0.000 2.318 18.551
Ca 2.008 1.159 7.388
Ca 2.008 1.159 11.163
P 0.000 0.000 16.674
P 0.000 2.318 9.287
P 2.008 1.159 1.899
Rh 0.000 0.000 9.266
Rh 0.000 2.318 1.878
Rh 2.008 1.159 16.654


14.
16
Lattice="6.380 0.000 0.000 0.000 6.380 0.000 0.000 0.000 12.660" Properties=species:S:1:pos:R:3 comment="TlGaSb2 | the Alexandria database | PBEsol | relaxed" final_energy_ev_per_fu=-15.0 rho_g_cm3=6.67 e_form_raw_ev_per_atom=0.0252 dos_at_fermi_per_ev_atom=0.06 magmom_total_mub_per_fu=0.000 pbc="T T T"
Tl 0.000 0.000 0.000
Tl 0.000 3.190 3.165
Tl 3.190 0.000 9.495
Tl 3.190 3.190 6.330
Ga 0.000 0.000 6.330
Ga 0.000 3.190 9.495
Ga 3.190 0.000 3.165
Ga 3.190 3.190 0.000
Sb 1.414 1.595 7.912
Sb 1.595 4.604 11.077
Sb 1.595 4.967 4.747
Sb 1.777 1.595 1.582
Sb 4.604 4.785 1.582
Sb 4.785 1.414 4.747
Sb 4.785 1.777 11.077
Sb 4.967 4.785 7.912


15.
5
Lattice="4.473 0.000 0.000 0.000 4.473 0.000 0.000 0.000 4.473" Properties=species:S:1:pos:R:3 comment="TiCoIr3 | the Alexandria database | PBEsol | relaxed" final_energy_ev_per_fu=-37.5 rho_g_cm3=12.68 delta_e_f_ev_per_fu=8.0 dos_at_fermi_per_ev_atom=1.58 magmom_total_mub_per_fu=3.347 pbc="T T T"
Ti 0.000 0.000 0.000
Co 2.237 2.237 2.237
Ir 0.000 0.000 2.237
Ir 0.000 2.237 0.000
Ir 2.237 0.000 0.000


16.
12
Lattice="3.654 0.000 0.000 -1.827 3.165 0.000 0.000 0.000 25.032" Properties=species:S:1:pos:R:3 comment="GeSbS2 | the Alexandria database | PBEsol | relaxed" final_energy_ev_per_fu=-18.0 rho_g_cm3=4.45 e_form_raw_ev_per_atom=0.0572 dos_at_fermi_per_ev_atom=0.29 magmom_total_mub_per_fu=0.000 pbc="T T T"
Ge 0.000 0.000 0.000
Ge 0.000 2.110 16.688
Ge 1.827 1.055 8.344
Sb 0.000 0.000 12.516
Sb 0.000 2.110 4.172
Sb 1.827 1.055 20.860
S 0.000 0.000 2.505
S 0.000 0.000 22.527
S 0.000 2.110 14.183
S 0.000 2.110 19.193
S 1.827 1.055 5.839
S 1.827 1.055 10.849


17.
6
Lattice="4.727 0.000 0.000 -2.363 4.094 0.000 0.000 0.000 8.497" Properties=species:S:1:pos:R:3 comment="SrAgSb | the Alexandria database | PBEsol | relaxed" final_energy_ev_per_fu=-12.0 rho_g_cm3=6.41 e_form_raw_ev_per_atom=-0.7611 dos_at_fermi_per_ev_atom=0.02 magmom_total_mub_per_fu=0.000 pbc="T T T"
Sr 0.000 0.000 0.000
Sr 0.000 0.000 4.249
Ag 0.000 2.729 2.124
Ag 2.364 1.365 6.373
Sb 0.000 2.729 6.373
Sb 2.364 1.365 2.124


18.
6
Lattice="3.977 0.000 0.000 0.000 3.977 0.000 0.000 0.000 13.891" Properties=species:S:1:pos:R:3 comment="BaLaHg | the Alexandria database | PBEsol | relaxed" final_energy_ev_per_fu=-9.0 rho_g_cm3=7.21 delta_e_f_ev_per_fu=-0.9 dos_at_fermi_per_ev_atom=1.00 magmom_total_mub_per_fu=0.000 pbc="T T T"
Ba 0.000 0.000 0.000
Ba 1.988 1.988 6.945
La 0.000 0.000 10.104
La 1.988 1.988 3.158
Hg 0.000 0.000 4.697
Hg 1.988 1.988 11.643


19.
5
Lattice="4.075 0.000 0.000 0.000 4.075 0.000 0.000 0.000 4.842" Properties=species:S:1:pos:R:3 comment="InSiTcF2 | the Alexandria database | PBEsol | relaxed" final_energy_ev_per_fu=-27.1 rho_g_cm3=5.76 e_form_raw_ev_per_atom=-0.6565 dos_at_fermi_per_ev_atom=0.68 magmom_total_mub_per_fu=0.511 pbc="T T T"
In 0.000 0.000 0.000
Si 2.038 2.038 0.000
Tc 2.038 2.038 2.421
F 0.000 2.038 2.421
F 2.038 0.000 2.421


20.
14
Lattice="-2.798 2.902 4.218 2.798 -2.902 4.218 2.798 2.902 -4.218" Properties=species:S:1:pos:R:3 comment="Li2VO2F2 | the Alexandria database | PBEsol | relaxed" final_energy_ev_per_fu=-46.3 relative_energy_ev_per_atom=0.0381 rho_g_cm3=3.27 e_form_raw_ev_per_atom=-2.6265 dos_at_fermi_per_ev_atom=0.30 magmom_total_mub_per_fu=1.000 pbc="T T T"
Li 0.000 0.000 0.000
Li 2.798 1.451 1.096
Li 0.000 2.902 0.000
Li 0.000 1.451 3.121
V 1.399 1.451 -2.109
V 1.399 -1.451 2.109
O 2.798 2.705 -2.140
O 2.798 -0.197 2.140
O 0.000 3.099 2.078
O 0.000 0.197 6.358
F 1.353 1.451 -0.135
F 1.446 -1.451 4.083
F 1.353 4.353 0.135
F 1.446 1.451 4.352